No. 1
Here is a relaxed La6HN5 crystal from the Alexandria database. Energies are from PBE.

## Properties
The symmetry is C2/m. The spin magnetization is 0.00 μB per atom. Its total DFT energy (no corrections) is -89.31 eV per cell.

Cell: 6.492 6.492 6.480 Å, 99.73 99.73 119.98°
Atoms (fractional coordinates):
1 La 0.432 0.084 0.254
2 La 0.916 0.568 0.746
3 La 0.264 0.264 0.739
4 La 0.736 0.736 0.261
5 La 0.084 0.432 0.254
6 La 0.568 0.916 0.746
7 H 0.000 0.000 0.000
8 N 0.826 0.174 0.500
9 N 0.665 0.335 0.000
10 N 0.500 0.500 0.500
11 N 0.335 0.665 0.000
12 N 0.174 0.826 0.500

---

No. 2
Here is a relaxed La6H2N3 crystal from the Alexandria database. Energies are from PBE.

## Properties
The symmetry is C2/m. The spin magnetization is 0.06 μB per atom. Its total DFT energy (no corrections) is -71.27 eV per cell.

Cell: 6.420 6.424 6.677 Å, 80.79 71.32 60.02°
Atoms (fractional coordinates):
1 La 0.407 0.664 0.778
2 La 0.743 0.000 0.778
3 La 0.071 0.336 0.778
4 La 0.257 0.000 0.222
5 La 0.593 0.336 0.222
6 La 0.929 0.664 0.222
7 H 0.168 0.665 0.500
8 H 0.832 0.335 0.500
9 N 0.000 0.000 0.000
10 N 0.335 0.331 0.000
11 N 0.665 0.669 0.000

---

No. 3
Here is a relaxed NaLaH2N crystal from the Alexandria database. Energies are from PBE.

## Properties
The symmetry is P4/mmm. The spin magnetization is 0.20 μB per atom. Its total DFT energy (no corrections) is -21.64 eV per cell.

Cell: 3.823 4.541 3.823 Å, 90.00 90.00 90.00°
Site moments in Bohr magnetons follow the coordinates.
Atoms (fractional coordinates):
1 Na 0.000 0.000 0.000  0.01
2 N 0.000 0.500 0.000  0.55
3 H 0.000 0.000 0.500  0.07
4 H 0.500 0.000 0.000  0.03
5 La 0.500 0.500 0.500  -0.02

---

No. 4
Here is a relaxed LaNbHN2 crystal from the Alexandria database. Energies are from PBE.

## Properties
The symmetry is P4/mmm. The spin magnetization is 0.00 μB per atom. Its total DFT energy (no corrections) is -39.91 eV per cell.

Cell: 4.173 4.173 3.701 Å, 90.00 90.00 90.00°
Atoms (fractional coordinates):
1 H 0.000 0.000 0.500
2 Nb 0.000 0.000 0.000
3 N 0.000 0.500 0.000
4 N 0.500 0.000 0.000
5 La 0.500 0.500 0.500

---

No. 5
Here is a relaxed LaNiH2N crystal from the Alexandria database. Energies are from PBE.

## Properties
The symmetry is P4/mmm. The spin magnetization is 0.00 μB per atom. Its total DFT energy (no corrections) is -28.72 eV per cell.

Cell: 3.606 3.606 3.980 Å, 90.00 90.00 90.00°
Atoms (fractional coordinates):
1 Ni 0.000 0.000 0.000
2 N 0.000 0.000 0.500
3 H 0.000 0.500 0.000
4 H 0.500 0.000 0.000
5 La 0.500 0.500 0.500

---

No. 6
Here is a relaxed LaHN2O crystal from the Alexandria database. Energies are from PBE.

## Properties
The symmetry is P4/mmm. The spin magnetization is 1.15 μB per atom. Its total DFT energy (no corrections) is -24.88 eV per cell.

Cell: 5.211 5.211 4.375 Å, 90.00 90.00 90.00°
Site moments in Bohr magnetons follow the coordinates.
Atoms (fractional coordinates):
1 H 0.500 0.500 0.500  0.38
2 N 0.000 0.500 0.000  1.47
3 N 0.500 0.000 0.000  1.47
4 O 0.000 0.000 0.500  0.15
5 La 0.000 0.000 0.000  0.07